1.
Compound: InSb2RhI
Source: Alexandria
Functional: PBE
Structure: relaxed

Its crystal system is tetragonal. The value obtained for the polymorph energy (0 for the lowest one) is 23.94 kcal/mol of atoms. The uncorrected formation energy is 1.220 eV per atom.

The structure belongs to space group P4/mmm (No. 123); the cell edges are 5.543, 5.543 and 5.786 Å and the angles 90.00°, 90.00° and 90.00°. Symmetry generates all atoms from In at (0.000, 0.000, 0.000), Sb at (0.000, 0.500, 0.000), Rh at (0.500, 0.500, 0.500) and I at (0.000, 0.000, 0.500).

2.
Compound: NaSmBiRh
Source: Alexandria
Functional: PBE
Structure: relaxed

Its crystal system is cubic. For the formation enthalpy at 0 K, the calculation gives -0.4604 eV/atom.

The structure belongs to space group F-43m (No. 216); the cell edges are 7.025, 7.025 and 7.025 Å and the angles 90.00°, 90.00° and 90.00°. Symmetry generates all atoms from Na at (0.000, 0.000, 0.000), Sm at (0.250, 0.250, 0.250), Bi at (0.250, 0.250, 0.750) and Rh at (0.000, 0.000, 0.500).

3.
Compound: Cs2PmCuF6
Source: Alexandria
Functional: PBE
Structure: relaxed

Its crystal system is tetragonal. The uncorrected formation energy is -2.904 eV per atom.

The structure belongs to space group I4/mmm (No. 139); the cell edges are 7.080, 7.080 and 8.376 Å and the angles 90.00°, 90.00° and 90.00°. Symmetry generates all atoms from Cs at (0.000, 0.500, 0.250), Pm at (0.000, 0.000, 0.000), Cu at (0.000, 0.000, 0.500), F at (0.000, 0.000, 0.274) and F at (0.224, 0.224, 0.000).

4.
Compound: Be3CrCo
Source: Alexandria
Functional: PBE
Structure: relaxed

Its crystal system is cubic. The value obtained for the polymorph energy (0 for the lowest one) is 0.00 kcal/mol of atoms. For the formation enthalpy at 0 K, the calculation gives 0.6926 eV/atom.

The structure belongs to space group Pm-3m (No. 221); the cell edges are 3.784, 3.784 and 3.784 Å and the angles 90.00°, 90.00° and 90.00°. Symmetry generates all atoms from Be at (0.000, 0.000, 0.500), Cr at (0.500, 0.500, 0.500) and Co at (0.000, 0.000, 0.000).

5.
Compound: LiZnCo
Source: Alexandria
Functional: PBE
Structure: relaxed

Its crystal system is cubic. The value obtained for the polymorph energy (0 for the lowest one) is 12.21 kcal/mol of atoms. For the formation enthalpy at 0 K, the calculation gives 0.4800 eV/atom.

The structure belongs to space group F-43m (No. 216); the cell edges are 5.732, 5.732 and 5.732 Å and the angles 90.00°, 90.00° and 90.00°. Symmetry generates all atoms from Li at (0.000, 0.000, 0.000), Zn at (0.000, 0.000, 0.500) and Co at (0.250, 0.250, 0.750).

6.
Compound: La2GaCoGe
Source: Alexandria
Functional: PBE
Structure: relaxed

Its crystal system is tetragonal. The value obtained for the polymorph energy (0 for the lowest one) is 0.00 kcal/mol of atoms. For the formation enthalpy at 0 K, the calculation gives -0.5215 eV/atom.

The structure belongs to space group P4/nmm (No. 129, origin choice 2); the cell edges are 4.350, 4.350 and 13.547 Å and the angles 90.00°, 90.00° and 90.00°. Symmetry generates all atoms from La at (0.250, 0.250, 0.114), La at (0.250, 0.250, 0.658), Ga at (0.250, 0.250, 0.415), Co at (0.250, 0.750, 0.500) and Ge at (0.250, 0.250, 0.883).

7.
Compound: PmTmTeP
Source: Alexandria
Functional: PBE
Structure: relaxed

Its crystal system is trigonal. The uncorrected formation energy is -1.493 eV per atom.

The structure belongs to space group R3m (No. 160, hexagonal axes); the cell edges are 4.0942, 4.0942 and 21.9835 Å and the angles 90.00°, 90.00° and 120.00°. Symmetry generates all atoms from Pm at (0.0000, 0.0000, 0.0000), Tm at (0.0000, 0.0000, 0.1939), Te at (0.0000, 0.0000, 0.4332) and P at (0.0000, 0.0000, 0.5947).

8.
Compound: Ba2ScW
Source: Alexandria
Functional: PBE
Structure: relaxed

Its crystal system is trigonal. The value obtained for the polymorph energy (0 for the lowest one) is 6.05 kcal/mol of atoms. For the formation enthalpy at 0 K, the calculation gives 0.9506 eV/atom.

The structure belongs to space group R3m (No. 160, hexagonal axes); the cell edges are 3.6093, 3.6093 and 34.9103 Å and the angles 90.00°, 90.00° and 120.00°. Symmetry generates all atoms from Ba at (0.0000, 0.0000, 0.0000), Ba at (0.0000, 0.0000, 0.2200), Sc at (0.0000, 0.0000, 0.7603) and W at (0.0000, 0.0000, 0.4809).

Short version: DOS(E_F) = 1.379 0.031 0.000 2.293 2.038 0.766 0.610 1.539 states/eV/atom, in the order given.